Entry from Alexandria via LeMat-Bulk: an optimized crystal structure of LaCe2Mn3O9 (PBE+U).

Raw total energy ... -0.5884 Ry/atom

Cell: 8.762 8.762 3.957 Å, 90.00 90.00 143.07°
Fractional positions:
La (0.000, 0.000, 0.000)
Ce (0.331, 0.669, 0.000)
Ce (0.669, 0.331, 0.000)
Mn (0.167, 0.833, 0.500)
Mn (0.500, 0.500, 0.500)
Mn (0.833, 0.167, 0.500)
O (0.000, 0.500, 0.500)
O (0.166, 0.334, 0.500)
O (0.171, 0.829, 0.000)
O (0.334, 0.166, 0.500)
O (0.500, 0.000, 0.500)
O (0.500, 0.500, 0.000)
O (0.666, 0.834, 0.500)
O (0.829, 0.171, 0.000)
O (0.834, 0.666, 0.500)